<A>
The following is a PBE calculation of a relaxed PmYGeIr crystal, from Alexandria via LeMat-Bulk.

Calculated values
Density, kg/m³: 9181

abc: 5.034 5.034 5.034
angles: 60.00 60.00 60.00
Positions (direct):
Y 0.500 0.500 0.500
Ge 0.250 0.250 0.250
Ir 0.750 0.750 0.750
Pm 0.000 0.000 0.000

<B>
The following is a PBE calculation of a relaxed PmYGeIr crystal, from Alexandria via LeMat-Bulk.

Calculated values
Density, kg/m³: 8876

abc: 4.184 4.147 5.770
angles: 90.00 111.26 90.00
Positions (direct):
Pm 0.145 0.000 0.289
Y 0.864 0.500 0.727
Ge 0.570 0.500 0.141
Ir 0.421 0.000 0.843

Verdict on stability: <B> comes out on top.

<A>
The following is a PBE calculation of a relaxed Pr2Ge3Ir2 crystal, from Alexandria via LeMat-Bulk.

Calculated values
Density, kg/m³: 10264

abc: 4.227 5.755 7.097
angles: 115.01 90.00 111.55
Positions (direct):
Pr 0.854 0.707 0.226
Pr 0.146 0.293 0.774
Ge 0.500 0.000 0.000
Ge 0.631 0.262 0.439
Ge 0.369 0.738 0.561
Ir 0.864 0.729 0.779
Ir 0.136 0.271 0.221

<B>
The following is a PBE calculation of a relaxed Pr2Ge3Ir2 crystal, from Alexandria via LeMat-Bulk.

Calculated values
Density, kg/m³: 10309

abc: 4.299 7.209 9.438
angles: 90.00 103.16 90.00
Positions (direct):
Pr 0.156 0.250 0.312
Pr 0.844 0.750 0.688
Pr 0.942 0.250 0.884
Pr 0.058 0.750 0.116
Ge 0.225 0.750 0.451
Ge 0.775 0.250 0.549
Ge 0.564 0.435 0.128
Ge 0.436 0.565 0.872
Ge 0.436 0.935 0.872
Ge 0.564 0.065 0.128
Ir 0.694 0.947 0.389
Ir 0.306 0.053 0.611
Ir 0.306 0.447 0.611
Ir 0.694 0.553 0.389

Verdict on stability: <B> comes out on top.